Entry from the Alexandria database: crystalline Pm3IrBr at its relaxed geometry (PBE-GGA).

a = 3.9084 Å, b = 9.5986 Å, c = 8.1855 Å
α = 90.00°, β = 90.00°, γ = 90.00°
Last column: nearest neighbours and their distance in Å.
Atoms (fractional coordinates):
1 Pm 0.7500 0.5721 0.8392  3 Ir 2.99-3.30
2 Pm 0.7500 0.9279 0.8392  3 Ir 2.99-3.30
3 Ir 0.7500 0.2500 0.9799  6 Pm 2.77-2.99
4 Pm 0.2500 0.0721 0.1608  3 Ir 2.99-3.30
5 Pm 0.2500 0.4279 0.1608  3 Ir 2.99-3.30
6 Br 0.7500 0.2500 0.4326  6 Pm 3.19-3.42
7 Pm 0.7500 0.7500 0.2591  2 Ir 2.77
8 Ir 0.2500 0.7500 0.0201  6 Pm 2.77-2.99
9 Pm 0.2500 0.2500 0.7409  2 Ir 2.77
10 Br 0.2500 0.7500 0.5674  6 Pm 3.19-3.42

## Properties
The value obtained for the raw formation energy is -0.74 eV per atom. The value obtained for the total magnetization is 0.00 μB per formula unit.